Rb2CaMoF6 (PBE+U, relaxed); M_tot = 4.000 μB/f.u.; calculated volume = 188.3 Å³/cell; density = 3.71 Mg/m³; total DFT energy (no corrections) = -50.93 eV/f.u.
1.0
6.5316 0.0000 0.0000
0.0000 6.5316 0.0000
3.2658 3.2658 4.4129
F Rb Mo Ca
6 2 1 1
direct
0.7563 0.7563 0.4874
0.2573 0.2573 0.0000
0.7427 0.2573 0.0000
0.7427 0.7427 0.0000
0.2437 0.2437 0.5126
0.2573 0.7427 0.0000
0.7500 0.2500 0.5000
0.2500 0.7500 0.5000
0.0000 0.0000 0.0000
0.5000 0.5000 0.0000